Entry from Alexandria: Li2MgNi3O8 after structural relaxation (GGA+U).

Cell: 9.854 5.686 5.866 Å, 90.00 123.95 90.00°
Space group C2/m (No. 12)
Symmetry-distinct sites (fractional):
Li 0.000 0.000 0.000 [2 per cell]
Li 0.000 0.500 0.000 [2 per cell]
Mg 0.000 0.000 0.500 [2 per cell]
Ni 0.000 0.500 0.500 [2 per cell]
Ni 0.250 0.250 0.500 [4 per cell]
O 0.020 0.264 0.289 [8 per cell]
O 0.234 0.500 0.698 [4 per cell]
O 0.247 0.000 0.707 [4 per cell]

Results
- Total moment: 0.000 μB per formula unit
- Calculated total energy: -4.908 eV per atom